i.
Entry from the Alexandria database: a geometry-optimized B3AsPt structure (GGA-PBE).

a = 4.0692 Å, b = 4.0692 Å, c = 4.0692 Å
α = 90.00°, β = 90.00°, γ = 90.00°
Last column: nearest neighbours and their distance in Å.
Space group Pm-3m (No. 221)
Symmetry-distinct sites (fractional):
B1 0.0000 0.0000 0.5000  2 As 2.03
As1 0.0000 0.0000 0.0000  6 B 2.03
Pt1 0.5000 0.5000 0.5000  12 B 2.88

---

ii.
Entry from the Alexandria database: a geometry-optimized B3AsPt structure (GGA-PBE).

a = 4.1695 Å, b = 4.1695 Å, c = 4.1695 Å
α = 90.00°, β = 90.00°, γ = 90.00°
Last column: nearest neighbours and their distance in Å.
Space group Pm-3m (No. 221)
Symmetry-distinct sites (fractional):
B1 0.0000 0.0000 0.5000  2 Pt 2.08
As1 0.5000 0.5000 0.5000  12 B 2.95
Pt1 0.0000 0.0000 0.0000  6 B 2.08

---

How do the structures above rank in stability at the extremes? ii comes first and i comes last.